1.
B3IrAu at its PBEsol-relaxed geometry. Source: the Alexandria database, functional SCAN.

abc: 4.0890 4.0890 4.0890
angles: 90.00 90.00 90.00
With the nearest neighbours (Å) after each atom.
Element x y z (fractional)
B (0.0000, 0.0000, 0.5000)  2 Ir 2.04
B (0.0000, 0.5000, 0.0000)  2 Ir 2.04
B (0.5000, 0.0000, 0.0000)  2 Ir 2.04
Ir (0.0000, 0.0000, 0.0000)  6 B 2.04
Au (0.5000, 0.5000, 0.5000)  12 B 2.89

Values from the calculation:
D(E_F) (states/eV per atom): 0.543
DFT formation energy (eV per formula unit): 4.55
Volume (A^3/atom): 13.67

***

2.
KB2PdAu at its PBEsol-relaxed geometry. Source: the Alexandria database, functional SCAN.

abc: 4.5323 4.5323 4.8476
angles: 90.00 90.00 90.00
With the nearest neighbours (Å) after each atom.
Element x y z (fractional)
K (0.0000, 0.0000, 0.0000)  4 B 2.27, 2 Pd 2.42
B (0.0000, 0.5000, 0.0000)  2 K 2.27
B (0.5000, 0.0000, 0.0000)  2 K 2.27
Pd (0.0000, 0.0000, 0.5000)  2 K 2.42
Au (0.5000, 0.5000, 0.5000)  4 Pd 3.20, 8 B 3.32

Values from the calculation:
D(E_F) (states/eV per atom): 0.682
DFT formation energy (eV per formula unit): 14.26
Volume (A^3/atom): 19.92

***

3.
La2BOsAu at its PBEsol-relaxed geometry. Source: the Alexandria database, functional SCAN.

abc: 5.4517 5.4517 4.0958
angles: 90.00 90.00 90.00
With the nearest neighbours (Å) after each atom.
Element x y z (fractional)
La (0.0000, 0.5000, 0.0000)  2 Os 2.73
La (0.5000, 0.0000, 0.0000)  2 Os 2.73
B (0.0000, 0.0000, 0.5000)  2 Os 2.05
Os (0.0000, 0.0000, 0.0000)  2 B 2.05
Au (0.5000, 0.5000, 0.5000)  8 La 3.41

Values from the calculation:
D(E_F) (states/eV per atom): 0.697
DFT formation energy (eV per formula unit): -1.58
Volume (A^3/atom): 24.35

***

4.
Li2BAu2 at its PBEsol-relaxed geometry. Source: the Alexandria database, functional SCAN.

abc: 5.8347 5.8347 4.3248
angles: 90.00 90.00 90.00
With the nearest neighbours (Å) after each atom.
Element x y z (fractional)
Li (0.1588, 0.3412, 0.0000)  2 Au 2.58, 1 Li 2.62
Li (0.3412, 0.8412, 0.0000)  2 Au 2.58, 1 Li 2.62
Li (0.6588, 0.1588, 0.0000)  2 Au 2.58, 1 Li 2.62
Li (0.8412, 0.6588, 0.0000)  2 Au 2.58, 1 Li 2.62
B (0.0000, 0.0000, 0.5000)  4 Au 2.16
B (0.5000, 0.5000, 0.5000)  4 Au 2.16
Au (0.1705, 0.6705, 0.5000)  2 B 2.16
Au (0.3295, 0.1705, 0.5000)  2 B 2.16
Au (0.6705, 0.8295, 0.5000)  2 B 2.16
Au (0.8295, 0.3295, 0.5000)  2 B 2.16

Values from the calculation:
D(E_F) (states/eV per atom): 0.331
DFT formation energy (eV per formula unit): -0.77
Volume (A^3/atom): 14.72

***

5.
LiBAu2 at its PBEsol-relaxed geometry. Source: the Alexandria database, functional SCAN.

abc: 5.5296 5.5296 5.5296
angles: 101.78 101.78 126.27
With the nearest neighbours (Å) after each atom.
Element x y z (fractional)
Li (0.0000, 0.0000, 0.0000)  2 B 2.50, 4 Au 2.74
Li (0.7500, 0.2500, 0.5000)  2 B 2.50, 4 Au 2.74
B (0.2500, 0.7500, 0.5000)  4 Au 2.10
B (0.5000, 0.5000, 0.0000)  4 Au 2.10
Au (0.2331, 0.1250, 0.6081)  2 B 2.10
Au (0.3750, 0.7669, 0.8919)  2 B 2.10
Au (0.5169, 0.6250, 0.3919)  2 B 2.10
Au (0.8750, 0.4831, 0.1081)  2 B 2.10

Values from the calculation:
D(E_F) (states/eV per atom): 0.311
DFT formation energy (eV per formula unit): -0.01
Volume (A^3/atom): 15.20

***

6.
LiSiBAu2 at its PBEsol-relaxed geometry. Source: the Alexandria database, functional SCAN.

abc: 4.2546 4.2546 4.2386
angles: 90.00 90.00 90.00
With the nearest neighbours (Å) after each atom.
Element x y z (fractional)
Li (0.0000, 0.0000, 0.0000)  2 B 2.12
Si (0.5000, 0.5000, 0.0000)  8 Au 3.00, 4 Li 3.01
B (0.0000, 0.0000, 0.5000)  2 Li 2.12, 4 Au 2.13
Au (0.0000, 0.5000, 0.5000)  2 B 2.13
Au (0.5000, 0.0000, 0.5000)  2 B 2.13

Values from the calculation:
D(E_F) (states/eV per atom): 0.202
Uncorrected formation energy (meV per atom): 305
Volume (A^3/atom): 15.34

***

7.
MnBAu3 at its PBEsol-relaxed geometry. Source: the Alexandria database, functional SCAN.

abc: 4.2993 4.2993 4.2993
angles: 90.00 90.00 90.00
With the nearest neighbours (Å) after each atom.
Element x y z (fractional)
Mn (0.0000, 0.0000, 0.0000)  12 Au 3.04
B (0.5000, 0.5000, 0.5000)  6 Au 2.15
Au (0.0000, 0.5000, 0.5000)  2 B 2.15
Au (0.5000, 0.0000, 0.5000)  2 B 2.15
Au (0.5000, 0.5000, 0.0000)  2 B 2.15

Values from the calculation:
D(E_F) (states/eV per atom): 0.318
DFT formation energy (eV per formula unit): 0.44
Volume (A^3/atom): 15.89

***

8.
BAu3N at its PBEsol-relaxed geometry. Source: the Alexandria database, functional SCAN.

abc: 4.2744 4.2744 4.2744
angles: 90.00 90.00 90.00
With the nearest neighbours (Å) after each atom.
Element x y z (fractional)
B (0.0000, 0.0000, 0.0000)  12 Au 3.02
Au (0.0000, 0.5000, 0.5000)  2 N 2.14
Au (0.5000, 0.0000, 0.5000)  2 N 2.14
Au (0.5000, 0.5000, 0.0000)  2 N 2.14
N (0.5000, 0.5000, 0.5000)  6 Au 2.14

Values from the calculation:
D(E_F) (states/eV per atom): 0.408
Uncorrected formation energy (meV per atom): 1532
Volume (A^3/atom): 15.62

***

9.
BAuN3 at its PBEsol-relaxed geometry. Source: the Alexandria database, functional SCAN.

abc: 4.0329 4.0329 4.0329
angles: 90.00 90.00 90.00
With the nearest neighbours (Å) after each atom.
Element x y z (fractional)
B (0.0000, 0.0000, 0.0000)  12 N 2.85
Au (0.5000, 0.5000, 0.5000)  6 N 2.02
N (0.0000, 0.5000, 0.5000)  2 Au 2.02
N (0.5000, 0.0000, 0.5000)  2 Au 2.02
N (0.5000, 0.5000, 0.0000)  2 Au 2.02

Values from the calculation:
D(E_F) (states/eV per atom): 0.325
Uncorrected formation energy (meV per atom): 3080
Volume (A^3/atom): 13.12

***

10.
BAuN3 at its PBEsol-relaxed geometry. Source: the Alexandria database, functional SCAN.

abc: 3.4513 3.4513 3.4513
angles: 90.00 90.00 90.00
With the nearest neighbours (Å) after each atom.
Element x y z (fractional)
B (0.0000, 0.0000, 0.0000)  6 N 1.73
Au (0.5000, 0.5000, 0.5000)  12 N 2.44
N (0.0000, 0.0000, 0.5000)  2 B 1.73
N (0.0000, 0.5000, 0.0000)  2 B 1.73
N (0.5000, 0.0000, 0.0000)  2 B 1.73

Values from the calculation:
D(E_F) (states/eV per atom): 0.466
Uncorrected formation energy (meV per atom): 1909
Volume (A^3/atom): 8.22

***

11.
NbB2Au at its PBEsol-relaxed geometry. Source: the Alexandria database, functional SCAN.

abc: 7.5158 7.5158 7.5158
angles: 149.41 149.41 43.80
With the nearest neighbours (Å) after each atom.
Element x y z (fractional)
Nb (0.0000, 0.0000, 0.0000)  4 B 2.44
Nb (0.7500, 0.2500, 0.5000)  4 B 2.44
B (0.2262, 0.6250, 0.1012)  2 Au 2.09, 2 B 2.31
B (0.3750, 0.4762, 0.6012)  2 Au 2.09, 2 B 2.31
B (0.5238, 0.1250, 0.8988)  2 Au 2.09, 2 B 2.31
B (0.8750, 0.7738, 0.3988)  2 Au 2.09, 2 B 2.31
Au (0.2500, 0.7500, 0.5000)  4 B 2.09
Au (0.5000, 0.5000, 0.0000)  4 B 2.09

Values from the calculation:
D(E_F) (states/eV per atom): 0.425
DFT formation energy (eV per formula unit): 2.70
Volume (A^3/atom): 13.70

***

12.
Ni3BAu at its PBEsol-relaxed geometry. Source: the Alexandria database, functional SCAN.

abc: 3.8251 3.8251 3.8251
angles: 90.00 90.00 90.00
With the nearest neighbours (Å) after each atom.
Element x y z (fractional)
Ni (0.0000, 0.0000, 0.5000)  2 B 1.91
Ni (0.0000, 0.5000, 0.0000)  2 B 1.91
Ni (0.5000, 0.0000, 0.0000)  2 B 1.91
B (0.0000, 0.0000, 0.0000)  6 Ni 1.91
Au (0.5000, 0.5000, 0.5000)  12 Ni 2.70

Values from the calculation:
Distance to the lowest polymorph of the same formula (meV per atom): 0
D(E_F) (states/eV per atom): 0.420
DFT formation energy (eV per formula unit): 0.10
Volume (A^3/atom): 11.19

***

What did the second record say?
KB2PdAu at its PBEsol-relaxed geometry. Source: the Alexandria database, functional SCAN.

abc: 4.5323 4.5323 4.8476
angles: 90.00 90.00 90.00
With the nearest neighbours (Å) after each atom.
Element x y z (fractional)
K (0.0000, 0.0000, 0.0000)  4 B 2.27, 2 Pd 2.42
B (0.0000, 0.5000, 0.0000)  2 K 2.27
B (0.5000, 0.0000, 0.0000)  2 K 2.27
Pd (0.0000, 0.0000, 0.5000)  2 K 2.42
Au (0.5000, 0.5000, 0.5000)  4 Pd 3.20, 8 B 3.32

Values from the calculation:
D(E_F) (states/eV per atom): 0.682
DFT formation energy (eV per formula unit): 14.26
Volume (A^3/atom): 19.92

***

- Which formula does entry 6 have?
  LiSiBAu2